Crystalline KNaAl3 at its relaxed geometry. Source: Alexandria, functional GGA-PBE.

Unit cell a=5.9013 b=5.9013 c=5.9013 alpha=90.00 beta=90.00 gamma=90.00
Space group Pm-3m (No. 221)
Symmetry-distinct sites (fractional):
K1 0.0000 0.0000 0.0000 x1
Na1 0.5000 0.5000 0.5000 x1
Al1 0.0000 0.0000 0.5000 x3

density	1.16	g cm⁻³
formation energy from the elements	6.3	eV/f.u.
E above lowest polymorph	446	meV/atom

=====

Crystalline KNa2Al2 at its relaxed geometry. Source: Alexandria, functional GGA-PBE.

Unit cell a=5.3359 b=5.3359 c=11.9994 alpha=90.00 beta=90.00 gamma=90.00
Space group I4/mmm (No. 139)
Symmetry-distinct sites (fractional):
K1 0.0000 0.0000 0.0000 x2
Na1 0.0000 0.5000 0.2500 x4
Al1 0.0000 0.0000 0.3951 x4

density	1.35	g cm⁻³
formation energy from the elements	1.5	eV/f.u.
E above lowest polymorph	82	meV/atom

=====

Crystalline KNa3Al at its relaxed geometry. Source: Alexandria, functional GGA-PBE.

Unit cell a=6.1593 b=6.1593 c=6.1593 alpha=90.00 beta=90.00 gamma=90.00
Space group Pm-3m (No. 221)
Symmetry-distinct sites (fractional):
K1 0.0000 0.0000 0.0000 x1
Na1 0.0000 0.0000 0.5000 x3
Al1 0.5000 0.5000 0.5000 x1

density	0.96	g cm⁻³
formation energy from the elements	3.7	eV/f.u.
E above lowest polymorph	531	meV/atom

=====

| no. | calculated volume (A^3/atom) | total magnetic moment (μB per cell) |
| --- | --- | --- |
| 1 | 41.1 | 0.00 |
| 2 | 34.2 | 0.00 |
| 3 | 46.7 | 0.00 |